No. 1
17
Lattice="-4.004 4.004 4.004 4.004 -4.004 4.004 4.004 4.004 -4.004" Properties=species:S:1:pos:R:3 comment="V4IrRh12 | Alexandria via LeMat-Bulk | PBE | optimized geometry" total_magnetization_mub_per_cell=2.78 ef_ev_per_atom=0.117 density_kg_m3=10550 pbc="T T T"
V 2.002 2.002 -2.002
V 2.002 -2.002 2.002
V -2.002 2.002 2.002
V 2.002 2.002 2.002
Ir 0.000 0.000 0.000
Rh 2.378 0.000 0.000
Rh 5.629 0.000 0.000
Rh 4.004 2.002 0.000
Rh 4.004 0.000 2.002
Rh 0.000 2.378 0.000
Rh 0.000 0.000 2.378
Rh 2.002 4.004 0.000
Rh 2.002 0.000 4.004
Rh 0.000 5.629 0.000
Rh 0.000 0.000 5.629
Rh 0.000 4.004 2.002
Rh 0.000 2.002 4.004

---

No. 2
12
Lattice="5.797 -2.248 0.000 5.797 2.248 0.000 -5.560 0.000 7.261" Properties=species:S:1:pos:R:3 comment="V4Ir7Rh | Alexandria via LeMat-Bulk | PBE | optimized geometry" total_magnetization_mub_per_cell=0.00 ef_ev_per_atom=0.131 density_kg_m3=14497 pbc="T T T"
V -0.698 0.000 2.070
V -2.187 0.000 6.093
V 8.220 0.000 1.168
V 6.732 0.000 5.191
Ir -2.780 0.000 3.631
Ir 1.239 0.000 0.618
Ir -0.189 0.000 4.607
Ir 3.976 0.000 1.120
Ir 2.057 0.000 6.141
Ir 6.223 0.000 2.654
Ir 4.795 0.000 6.643
Rh 3.017 0.000 3.631

---

No. 3
20
Lattice="5.356 0.000 0.000 0.000 7.125 0.000 -1.087 0.000 8.365" Properties=species:S:1:pos:R:3 comment="VIr3Rh | Alexandria via LeMat-Bulk | PBE | optimized geometry" total_magnetization_mub_per_cell=0.00 ef_ev_per_atom=0.103 density_kg_m3=15200 polymorph_energy_mev_per_atom=55.5 pbc="T T T"
V 0.859 1.702 0.918
V 0.315 1.860 5.100
V 3.954 5.264 3.264
V 3.411 5.423 7.447
Ir -0.841 0.553 7.078
Ir -0.297 3.010 2.896
Ir 0.774 4.232 0.830
Ir 0.231 6.456 5.012
Ir 1.479 0.703 3.098
Ir 0.936 2.859 7.280
Ir 3.334 4.266 1.085
Ir 2.790 6.422 5.267
Ir 4.038 0.669 3.352
Ir 3.495 2.893 7.535
Ir 4.567 4.115 5.469
Ir 5.110 6.572 1.287
Rh 1.535 5.080 3.192
Rh 0.992 5.608 7.375
Rh 3.277 1.517 0.990
Rh 2.734 2.045 5.173

---

What did we get for total DFT energy (no corrections)? Answer: -7.74 -8.69 -8.51 eV/atom, in the order shown.